A relaxed Ag5GeSe4Br2 crystal, computed with GGA-PBE.

Cell: 7.9945 6.7634 6.7634 Å, 122.18 90.00 90.00°
Element x y z (fractional)
Ag  0.0000  0.0000  0.0000
Ag  0.2829  0.2977  0.6679
Ag  0.2829  0.6679  0.2977
Ag  0.7171  0.2977  0.6679
Ag  0.7171  0.6679  0.2977
Ge  0.5000  0.0465  0.0465
Se  0.2549  0.2551  0.2551
Se  0.5000  0.6605  0.9941
Se  0.5000  0.9941  0.6605
Se  0.7451  0.2551  0.2551
Br  0.0000  0.5449  0.8872
Br  0.0000  0.8872  0.5449

Calculated values
DOS(E_F) in states/eV/atom: 0.949
Energy relative to the elements, uncorrected in eV per atom: -0.198
Magnetic moment in μB/f.u.: 0.00


A relaxed MgNbAu crystal, computed with GGA-PBE.

Cell: 4.6022 4.6022 5.9460 Å, 90.00 90.00 120.00°
Element x y z (fractional)
Mg  0.0000  0.0000  0.2435
Mg  0.0000  0.0000  0.7565
Nb  0.3333  0.6667  0.4189
Nb  0.6667  0.3333  0.5811
Au  0.3333  0.6667  0.8942
Au  0.6667  0.3333  0.1058

Calculated values
Energy in Ha/atom: -0.184
DOS(E_F) in states/eV/atom: 0.711
Magnetic moment in μB/f.u.: 0.00


A relaxed Y2CdTc crystal, computed with GGA-PBE.

Cell: 6.4248 6.4248 6.4248 Å, 103.68 103.68 121.80°
Element x y z (fractional)
Y  0.0860  0.6250  0.9610
Y  0.3750  0.3360  0.4610
Y  0.6640  0.1250  0.0390
Y  0.8750  0.9140  0.5390
Cd  0.2500  0.7500  0.5000
Cd  0.5000  0.5000  0.0000
Tc  0.0000  0.0000  0.0000
Tc  0.7500  0.2500  0.5000

Calculated values
Energy in Ha/atom: -0.212
DOS(E_F) in states/eV/atom: 0.971
Magnetic moment in μB/f.u.: 0.00